(1)
BeN2OF: optimized geometry, GGA-PBE.

Results
Electronic total energy: -3.103 eV per atom
Magnetization: 3.18 μB/f.u.

Cell: 3.421 3.421 4.626 Å, 90.00 90.00 90.00°
Space group P4/mmm (No. 123)
Inequivalent atoms, fractional coordinates:
Be1 0.000 0.000 0.000 x1
N1 0.000 0.500 0.500 x2
O1 0.500 0.500 0.000 x1
F1 0.500 0.500 0.500 x1

=====

(2)
BeOsNF2: optimized geometry, GGA-PBE.

Results
Electronic total energy: -6.252 eV per atom
Magnetization: 0.59 μB/f.u.
Polymorph energy (0 for the lowest one): 0 meV per atom

Cell: 3.011 3.011 7.365 Å, 90.00 90.00 90.00°
Space group P4/mmm (No. 123)
Inequivalent atoms, fractional coordinates:
Be1 0.000 0.000 0.000 x1
Os1 0.500 0.500 0.500 x1
N1 0.000 0.000 0.500 x1
F1 0.000 0.500 0.000 x2

=====

(3)
BeOsNF2: optimized geometry, GGA-PBE.

Results
Electronic total energy: -5.223 eV per atom
Magnetization: 0.00 μB/f.u.
Polymorph energy (0 for the lowest one): 1029 meV per atom

Cell: 4.221 4.221 3.755 Å, 90.00 90.00 90.00°
Space group P4/mmm (No. 123)
Inequivalent atoms, fractional coordinates:
Be1 0.000 0.000 0.000 x1
Os1 0.500 0.500 0.500 x1
N1 0.500 0.500 0.000 x1
F1 0.000 0.500 0.500 x2

=====

(4)
BePN2F: optimized geometry, GGA-PBE.

Results
Electronic total energy: -5.125 eV per atom
Magnetization: 0.00 μB/f.u.
Polymorph energy (0 for the lowest one): 0 meV per atom

Cell: 3.469 3.469 3.614 Å, 90.00 90.00 90.00°
Space group P4/mmm (No. 123)
Inequivalent atoms, fractional coordinates:
Be1 0.000 0.000 0.000 x1
P1 0.500 0.500 0.500 x1
N1 0.000 0.500 0.500 x2
F1 0.500 0.500 0.000 x1

=====

(5)
BePN2F: optimized geometry, GGA-PBE.

Results
Electronic total energy: -4.973 eV per atom
Magnetization: 0.00 μB/f.u.
Polymorph energy (0 for the lowest one): 153 meV per atom

Cell: 3.676 3.676 3.208 Å, 90.00 90.00 90.00°
Space group P4/mmm (No. 123)
Inequivalent atoms, fractional coordinates:
Be1 0.000 0.000 0.000 x1
P1 0.500 0.500 0.500 x1
N1 0.000 0.500 0.000 x2
F1 0.000 0.000 0.500 x1

=====

(6)
BePbNF2: optimized geometry, GGA-PBE.

Results
Electronic total energy: -3.766 eV per atom
Magnetization: 0.00 μB/f.u.
Polymorph energy (0 for the lowest one): 1388 meV per atom

Cell: 4.363 4.363 4.402 Å, 90.00 90.00 90.00°
Space group P4/mmm (No. 123)
Inequivalent atoms, fractional coordinates:
Be1 0.000 0.000 0.000 x1
Pb1 0.500 0.500 0.500 x1
N1 0.500 0.500 0.000 x1
F1 0.000 0.500 0.500 x2

=====

(7)
BePbNF2: optimized geometry, GGA-PBE.

Results
Electronic total energy: -5.153 eV per atom
Magnetization: 0.00 μB/f.u.
Polymorph energy (0 for the lowest one): 0 meV per atom

Cell: 3.530 3.530 4.479 Å, 90.00 90.00 90.00°
Space group P4/mmm (No. 123)
Inequivalent atoms, fractional coordinates:
Be1 0.000 0.000 0.000 x1
Pb1 0.500 0.500 0.500 x1
N1 0.000 0.000 0.500 x1
F1 0.000 0.500 0.000 x2

=====

(8)
BePtN2F: optimized geometry, GGA-PBE.

Results
Electronic total energy: -4.538 eV per atom
Magnetization: 0.39 μB/f.u.
Polymorph energy (0 for the lowest one): 549 meV per atom

Cell: 3.697 3.697 6.011 Å, 90.00 90.00 90.00°
Space group P4/mmm (No. 123)
Inequivalent atoms, fractional coordinates:
Be1 0.000 0.000 0.000 x1
Pt1 0.500 0.500 0.500 x1
N1 0.000 0.500 0.500 x2
F1 0.500 0.500 0.000 x1

=====

(9)
BePtN2F: optimized geometry, GGA-PBE.

Results
Electronic total energy: -5.087 eV per atom
Magnetization: 0.00 μB/f.u.
Polymorph energy (0 for the lowest one): 0 meV per atom

Cell: 3.794 3.794 3.124 Å, 90.00 90.00 90.00°
Space group P4/mmm (No. 123)
Inequivalent atoms, fractional coordinates:
Be1 0.000 0.000 0.000 x1
Pt1 0.500 0.500 0.500 x1
N1 0.000 0.500 0.000 x2
F1 0.000 0.000 0.500 x1

=====

(10)
RbBeNF2: optimized geometry, GGA-PBE.

Results
Electronic total energy: -4.624 eV per atom
Magnetization: 2.00 μB/f.u.
Polymorph energy (0 for the lowest one): 0 meV per atom

Cell: 4.252 4.252 3.518 Å, 90.00 90.00 90.00°
Space group P4/mmm (No. 123)
Inequivalent atoms, fractional coordinates:
Rb1 0.000 0.000 0.000 x1
Be1 0.500 0.500 0.500 x1
N1 0.500 0.500 0.000 x1
F1 0.000 0.500 0.500 x2

=====

(11)
RbBeN2F: optimized geometry, GGA-PBE.

Results
Electronic total energy: -2.741 eV per atom
Magnetization: 6.04 μB/f.u.
Polymorph energy (0 for the lowest one): 1782 meV per atom

Cell: 5.734 5.734 5.011 Å, 90.00 90.00 90.00°
Space group P4/mmm (No. 123)
Inequivalent atoms, fractional coordinates:
Rb1 0.000 0.000 0.000 x1
Be1 0.500 0.500 0.500 x1
N1 0.000 0.500 0.000 x2
F1 0.000 0.000 0.500 x1

=====

(12)
RbBeN2F: optimized geometry, GGA-PBE.

Results
Electronic total energy: -4.523 eV per atom
Magnetization: 1.98 μB/f.u.
Polymorph energy (0 for the lowest one): 0 meV per atom

Cell: 3.544 3.544 5.761 Å, 90.00 90.00 90.00°
Space group P4/mmm (No. 123)
Inequivalent atoms, fractional coordinates:
Rb1 0.000 0.000 0.000 x1
Be1 0.500 0.500 0.500 x1
N1 0.000 0.500 0.500 x2
F1 0.500 0.500 0.000 x1

=====

| no. | N(E_F) (states/eV/cell) | formation energy without anion corrections (eV per atom) |
| --- | --- | --- |
| 1 | 1.9 | 2.338 |
| 2 | 2.8 | -0.848 |
| 3 | 4.5 | 0.182 |
| 4 | 0.7 | 0.406 |
| 5 | 1.8 | 0.559 |
| 6 | 2.1 | 0.135 |
| 7 | 1.4 | -1.253 |
| 8 | 2.1 | 1.120 |
| 9 | 3.2 | 0.571 |
| 10 | 0.0 | -1.272 |
| 11 | 1.1 | 1.902 |
| 12 | 1.5 | 0.120 |